Entry 1:
Density functional theory data (PBE) for Zr2Ti3Bi2 after structural relaxation.

Lattice parameters (Å, degrees): 3.9482 5.7666 7.4155 105.78 90.00 110.02
Last column: nearest neighbours and their distance in Å.
Positions (direct):
Zr: 0.9047 0.8094 0.2631  6 Ti 2.99-3.15, 4 Bi 3.06-3.23
Zr: 0.0953 0.1906 0.7369  6 Ti 2.99-3.15, 4 Bi 3.06-3.23
Ti: 0.5000 0.0000 0.0000  4 Bi 2.85, 4 Zr 3.15, 2 Ti 3.17
Ti: 0.6175 0.2350 0.4442  2 Ti 2.90-3.17, 3 Bi 2.93-2.95, 4 Zr 2.99-3.04
Ti: 0.3825 0.7650 0.5558  2 Ti 2.90-3.17, 3 Bi 2.93-2.95, 4 Zr 2.99-3.04
Bi: 0.8202 0.6405 0.8086  5 Ti 2.85-2.95, 3 Zr 3.06-3.18
Bi: 0.1798 0.3595 0.1914  5 Ti 2.85-2.95, 3 Zr 3.06-3.18

As for the energy: -49.747 eV for the cell shown. For the total magnetic moment, the calculation gives 0.0 μB per formula unit. The space group is No. 12. The calculation puts the formation energy at -0.172 eV/atom.

Entry 2:
Density functional theory data (PBE) for Zr2TiBi4 after structural relaxation.

Lattice parameters (Å, degrees): 3.9150 7.1874 8.0300 116.06 104.11 90.00
Last column: nearest neighbours and their distance in Å.
Positions (direct):
Zr: 0.7569 0.7650 0.5138  6 Bi 3.02-3.04, 1 Ti 3.38
Zr: 0.2431 0.2350 0.4862  6 Bi 3.02-3.04, 1 Ti 3.38
Ti: 0.0000 0.0000 0.0000  6 Bi 2.87
Bi: 0.8895 0.2283 0.7789  1 Ti 2.87, 3 Zr 3.02
Bi: 0.1105 0.7717 0.2211  1 Ti 2.87, 3 Zr 3.02
Bi: 0.6116 0.3070 0.2233  2 Ti 2.87, 3 Zr 3.03-3.04
Bi: 0.3884 0.6930 0.7767  2 Ti 2.87, 3 Zr 3.03-3.04

As for the energy: -41.681 eV for the cell shown. For the total magnetic moment, the calculation gives 0.0 μB per formula unit. The space group is No. 12. The calculation puts the formation energy at -0.167 eV/atom.

Entry 3:
Density functional theory data (PBE) for Zr2TiBi after structural relaxation.

Lattice parameters (Å, degrees): 4.9472 4.9472 4.9482 90.63 119.64 119.63
Last column: nearest neighbours and their distance in Å.
Positions (direct):
Zr: 0.1248 0.8125 0.9373  4 Zr 3.03-3.04, 4 Bi 3.04
Zr: 0.6251 0.0625 0.6876  4 Zr 3.03-3.04, 4 Ti 3.03-3.04
Ti: 0.1252 0.3125 0.4377  4 Zr 3.03-3.04, 4 Bi 3.03-3.04
Bi: 0.6249 0.5625 0.1874  4 Ti 3.03-3.04, 4 Zr 3.04

As for the energy: -28.805 eV for the cell shown. For the total magnetic moment, the calculation gives 0.0 μB per formula unit. The space group is No. 119. The calculation puts the formation energy at 0.017 eV/atom.

Entry 4:
Density functional theory data (PBE) for ZrTi3Bi3 after structural relaxation.

Lattice parameters (Å, degrees): 7.5145 7.5145 8.4412 63.57 63.57 60.00
Last column: nearest neighbours and their distance in Å.
Positions (direct):
Zr: 0.3378 0.3378 0.9865  6 Bi 3.05-3.09
Zr: 0.6622 0.6622 0.0135  6 Bi 3.05-3.09
Ti: 0.4808 0.7524 0.6165  4 Bi 2.79-2.97, 2 Ti 2.83
Ti: 0.7524 0.1503 0.6165  4 Bi 2.79-2.97, 2 Ti 2.83
Ti: 0.1503 0.4808 0.6165  4 Bi 2.79-2.97, 2 Ti 2.83
Ti: 0.8497 0.5192 0.3835  4 Bi 2.79-2.97, 2 Ti 2.83
Ti: 0.2476 0.8497 0.3835  4 Bi 2.79-2.97, 2 Ti 2.83
Ti: 0.5192 0.2476 0.3835  4 Bi 2.79-2.97, 2 Ti 2.83
Bi: 0.2185 0.6264 0.2115  4 Ti 2.79-2.97, 2 Zr 3.05-3.09
Bi: 0.9436 0.2185 0.2115  4 Ti 2.79-2.97, 2 Zr 3.05-3.09
Bi: 0.6264 0.9436 0.2115  4 Ti 2.79-2.97, 2 Zr 3.05-3.09
Bi: 0.3736 0.0564 0.7885  4 Ti 2.79-2.97, 2 Zr 3.05-3.09
Bi: 0.0564 0.7815 0.7885  4 Ti 2.79-2.97, 2 Zr 3.05-3.09
Bi: 0.7815 0.3736 0.7885  4 Ti 2.79-2.97, 2 Zr 3.05-3.09

As for the energy: -86.906 eV for the cell shown. For the total magnetic moment, the calculation gives 1.9 μB per formula unit. The space group is No. 148. The calculation puts the formation energy at 0.060 eV/atom.

Entry 5:
Density functional theory data (PBE) for Zr2TiBi after structural relaxation.

Lattice parameters (Å, degrees): 3.2324 6.3253 9.3366 90.00 99.92 90.05
Last column: nearest neighbours and their distance in Å.
Positions (direct):
Zr: 0.4355 0.6686 0.8580  4 Ti 2.99, 4 Zr 3.16-3.23, 2 Bi 3.18
Zr: 0.6485 0.1689 0.2837  4 Ti 2.99, 4 Zr 3.16-3.23, 2 Bi 3.18
Zr: 0.6479 0.6688 0.2837  4 Ti 2.99, 4 Zr 3.16-3.23, 2 Bi 3.18
Zr: 0.4368 0.1688 0.8580  4 Ti 2.99, 4 Zr 3.16-3.23, 2 Bi 3.18
Ti: 0.0423 0.9188 0.0709  8 Zr 2.99, 4 Ti 3.16-3.23
Ti: 0.0424 0.4188 0.0709  8 Zr 2.99, 4 Ti 3.16-3.23
Bi: 0.5438 0.9186 0.5711  4 Zr 3.18, 6 Bi 3.23-3.55
Bi: 0.0425 0.4186 0.5708  4 Zr 3.18, 6 Bi 3.23-3.55

As for the energy: -57.858 eV for the cell shown. For the total magnetic moment, the calculation gives 0.0 μB per formula unit. The space group is No. 1. The calculation puts the formation energy at -0.014 eV/atom.

Entry 6:
Density functional theory data (PBE) for ZrTi3Bi after structural relaxation.

Lattice parameters (Å, degrees): 5.0695 5.0695 5.0695 90.00 90.00 90.00
Last column: nearest neighbours and their distance in Å.
Positions (direct):
Bi: 0.0000 0.0000 0.0000  6 Ti 2.53
Zr: 0.5000 0.5000 0.5000  12 Ti 3.58
Ti: 0.0000 0.5000 0.0000  2 Bi 2.53
Ti: 0.0000 0.0000 0.5000  2 Bi 2.53
Ti: 0.5000 0.0000 0.0000  2 Bi 2.53

As for the energy: -30.656 eV for the cell shown. For the total magnetic moment, the calculation gives 0.7 μB per formula unit. The space group is No. 221. The calculation puts the formation energy at 1.092 eV/atom.